# VS2F (GGA+U, relaxed)
# * total magnetization: 0.453 μB/atom
# * SG: R-3m
# * excess energy over the best structure of this formula in the dataset: 1185 meV/atom
# * total energy: -44.718 eV for the cell shown
data_VS2F
_chemical_formula_sum 'V3 S6 F3'
_symmetry_space_group_name_H-M 'P 1'
_symmetry_Int_Tables_number 1
_symmetry_space_group_name_Hall 'P 1'
_cell_length_a 2.934
_cell_length_b 2.934
_cell_length_c 25.291
_cell_angle_alpha 90.00
_cell_angle_beta 90.00
_cell_angle_gamma 120.00
loop_
_atom_site_label
_atom_site_type_symbol
_atom_site_fract_x
_atom_site_fract_y
_atom_site_fract_z
_atom_site_occupancy
V1 V 0.000 0.000 0.000 1
V2 V 0.333 0.667 0.667 1
V3 V 0.667 0.333 0.333 1
S1 S 0.000 0.000 0.091 1
S2 S 0.000 0.000 0.909 1
S3 S 0.333 0.667 0.576 1
S4 S 0.333 0.667 0.757 1
S5 S 0.667 0.333 0.243 1
S6 S 0.667 0.333 0.424 1
F1 F 0.000 0.000 0.500 1
F2 F 0.333 0.667 0.167 1
F3 F 0.667 0.333 0.833 1